1.
Below is TaSbO4 after structural relaxation, with properties calculated at the GGA-PBE level.

SG: No. 109
Size of the total moment (μB per formula unit): 0.000
Total energy (eV per atom): -8.081

Cell lengths 5.931, 5.931, 5.931 Å; angles 109.06, 109.06, 110.29 degrees
Atoms (fractional coordinates):
Ta  0.000  0.000  0.000
Ta  0.750  0.250  0.500
Sb  0.274  0.774  0.500
Sb  0.524  0.524  0.000
O  0.404  0.198  0.206
O  0.517  0.202  0.685
O  0.517  0.832  0.315
O  0.582  0.767  0.815
O  0.948  0.242  0.294
O  0.948  0.654  0.706
O  0.952  0.767  0.185
O  0.992  0.198  0.794



2.
Below is InAgPdS3 after structural relaxation, with properties calculated at the GGA-PBE level.

SG: No. 63
Total energy (eV per atom): -3.871

Cell lengths 7.042, 7.042, 8.609 Å; angles 90.00, 90.00, 148.23 degrees
Atoms (fractional coordinates):
In  0.249  0.751  0.750
In  0.751  0.249  0.250
Ag  0.025  0.975  0.250
Ag  0.975  0.025  0.750
Pd  0.500  0.500  0.000
Pd  0.500  0.500  0.500
S  0.156  0.844  0.055
S  0.156  0.844  0.445
S  0.407  0.593  0.250
S  0.593  0.407  0.750
S  0.844  0.156  0.555
S  0.844  0.156  0.945



3.
Below is MgNbTlNi after structural relaxation, with properties calculated at the GGA-PBE level.

E above lowest polymorph (eV per atom): 0.000
SG: No. 216
Size of the total moment (μB per formula unit): 0.215

Cell lengths 4.607, 4.607, 4.607 Å; angles 60.00, 60.00, 60.00 degrees
Atoms (fractional coordinates):
Mg  0.000  0.000  0.000
Nb  0.750  0.750  0.750
Tl  0.250  0.250  0.250
Ni  0.500  0.500  0.500



4.
Below is ScBeHg2 after structural relaxation, with properties calculated at the GGA-PBE level.

SG: No. 216
Size of the total moment (μB per formula unit): 0.008
Total energy (eV per atom): -2.575

Cell lengths 4.735, 4.735, 4.735 Å; angles 60.00, 60.00, 60.00 degrees
Atoms (fractional coordinates):
Sc  0.000  0.000  0.000
Be  0.750  0.750  0.750
Hg  0.250  0.250  0.250
Hg  0.500  0.500  0.500



5.
Below is TbScPt after structural relaxation, with properties calculated at the GGA-PBE level.

SG: No. 216
Size of the total moment (μB per formula unit): 0.013
DFT formation energy (eV/f.u.): -0.66

Cell lengths 4.594, 4.594, 4.594 Å; angles 60.00, 60.00, 60.00 degrees
Atoms (fractional coordinates):
Tb  0.000  0.000  0.000
Sc  0.750  0.750  0.750
Pt  0.500  0.500  0.500



6.
Below is KHfNb after structural relaxation, with properties calculated at the GGA-PBE level.

E above lowest polymorph (eV per atom): 0.586
SG: No. 216
Size of the total moment (μB per formula unit): 1.769

Cell lengths 4.880, 4.880, 4.880 Å; angles 60.00, 60.00, 60.00 degrees
Atoms (fractional coordinates):
K  0.000  0.000  0.000
Hf  0.750  0.750  0.750
Nb  0.250  0.250  0.250



7.
Below is DyY2Ge4Pd4 after structural relaxation, with properties calculated at the GGA-PBE level.

SG: No. 71
Size of the total moment (μB per formula unit): 0.014
Total energy (eV per atom): -6.069

Cell lengths 8.132, 8.132, 8.132 Å; angles 150.15, 128.09, 61.04 degrees
Atoms (fractional coordinates):
Dy  0.000  0.000  0.000
Y  0.374  0.874  0.500
Y  0.626  0.126  0.500
Ge  0.218  0.218  0.000
Ge  0.312  0.500  0.812
Ge  0.688  0.500  0.188
Ge  0.782  0.782  0.000
Pd  0.025  0.325  0.701
Pd  0.376  0.675  0.701
Pd  0.624  0.325  0.299
Pd  0.975  0.675  0.299



8.
Below is Cu4Ag after structural relaxation, with properties calculated at the GGA-PBE level.

E above lowest polymorph (eV per atom): 0.022
SG: No. 12
DFT formation energy (eV/f.u.): 0.33

Cell lengths 7.009, 7.009, 5.334 Å; angles 100.43, 100.43, 30.45 degrees
Atoms (fractional coordinates):
Cu  0.004  0.004  0.253
Cu  0.196  0.196  0.351
Cu  0.405  0.405  0.464
Cu  0.407  0.407  0.946
Cu  0.593  0.593  0.054
Cu  0.595  0.595  0.536
Cu  0.804  0.804  0.649
Cu  0.996  0.996  0.747
Ag  0.195  0.195  0.839
Ag  0.805  0.805  0.161



9.
Below is HfNiSnMo after structural relaxation, with properties calculated at the GGA-PBE level.

E above lowest polymorph (eV per atom): 0.000
SG: No. 216
Size of the total moment (μB per formula unit): 0.001

Cell lengths 4.584, 4.584, 4.584 Å; angles 60.00, 60.00, 60.00 degrees
Atoms (fractional coordinates):
Hf  0.000  0.000  0.000
Ni  0.750  0.750  0.750
Sn  0.500  0.500  0.500
Mo  0.250  0.250  0.250



10.
Below is ZnGa2As after structural relaxation, with properties calculated at the GGA-PBE level.

SG: No. 216
Total energy (eV per atom): -2.861

Cell lengths 4.716, 4.716, 4.716 Å; angles 60.00, 60.00, 60.00 degrees
Atoms (fractional coordinates):
Zn  0.000  0.000  0.000
Ga  0.250  0.250  0.250
Ga  0.500  0.500  0.500
As  0.750  0.750  0.750



11.
Below is Rb2ZrCu2Te4 after structural relaxation, with properties calculated at the GGA-PBE level.

SG: No. 21
Size of the total moment (μB per formula unit): 0.005
Total energy (eV per atom): -4.134

Cell lengths 8.061, 8.061, 6.269 Å; angles 90.00, 90.00, 134.29 degrees
Atoms (fractional coordinates):
Rb  0.000  0.500  0.249
Rb  0.500  0.000  0.751
Zr  0.000  0.000  0.500
Cu  0.000  0.000  0.000
Cu  0.500  0.500  0.500
Te  0.157  0.359  0.757
Te  0.359  0.157  0.243
Te  0.641  0.843  0.243
Te  0.843  0.641  0.757



12.
Below is GdTmH2O4 after structural relaxation, with properties calculated at the GGA-PBE level.

SG: No. 6
Size of the total moment (μB per formula unit): 0.001
Total energy (eV per atom): -7.120

Cell lengths 4.284, 3.590, 5.922 Å; angles 90.00, 109.52, 90.00 degrees
Atoms (fractional coordinates):
Gd  0.000  0.000  0.000
Tm  0.329  0.500  0.619
H  0.658  0.000  0.410
H  0.678  0.500  0.229
O  0.420  0.000  0.380
O  0.429  0.000  0.856
O  0.893  0.500  0.749
O  0.913  0.500  0.252